(one)
Ac3GaTe2 | PBE | relaxed

abc: 6.6672 14.1400 9.4246
angles: 90.00 90.00 90.00
Closest atoms and distances in Å follow each position.
Space group P2_1/c (No. 14)
Asymmetric unit:
Ac  0.2495  0.2503  0.3743 [4 per cell]  2 Ga 3.25-3.28, 4 Te 3.33-3.36
Ac  0.2500  0.5765  0.3593 [4 per cell]  1 Ga 3.23, 5 Te 3.34-3.42
Ac  0.2503  0.5788  0.8857 [4 per cell]  3 Ga 3.29-3.34, 3 Te 3.36-3.38
Ga  0.2495  0.0902  0.6255 [4 per cell]  6 Ac 3.23-3.34
Te  0.2500  0.0820  0.1226 [4 per cell]  6 Ac 3.33-3.36
Te  0.2505  0.7426  0.6238 [4 per cell]  6 Ac 3.34-3.42

Calculated values
Theoretical density   7.5 g/cm³



(two)
Ac3GaTe2 | PBE | relaxed

abc: 8.2687 14.1298 8.1222
angles: 90.00 109.78 90.00
Closest atoms and distances in Å follow each position.
Space group C2/c (No. 15)
Asymmetric unit:
Ac  0.2293  0.0772  0.4958 [8 per cell]  2 Ga 3.25-3.26, 4 Te 3.35-3.47
Ac  0.2500  0.2500  0.0000 [4 per cell]  2 Ga 3.26, 4 Te 3.34-3.35
Ga  0.0000  0.0905  0.7500 [4 per cell]  6 Ac 3.25-3.26
Te  0.0000  0.2578  0.2500 [4 per cell]  6 Ac 3.35-3.40
Te  0.0000  0.4179  0.7500 [4 per cell]  6 Ac 3.34-3.47

Calculated values
Theoretical density   7.5 g/cm³



Which structure is the least stable? The one labeled (one).



(one)
AcGa2Te | PBE | relaxed

abc: 3.9996 3.9996 6.7872
angles: 90.00 90.00 90.00
Closest atoms and distances in Å follow each position.
Space group P4/mmm (No. 123)
Asymmetric unit:
Ac  0.0000  0.0000  0.0000 [1 per cell]  2 Te 3.39, 8 Ga 3.49
Ga  0.5000  0.5000  0.3009 [2 per cell]  1 Ga 2.70
Te  0.0000  0.0000  0.5000 [1 per cell]  8 Ga 3.13, 2 Ac 3.39

Calculated values
Theoretical density   7.6 g/cm³



(two)
AcGa2Te | PBE | relaxed

abc: 4.7850 4.7850 4.7499
angles: 90.00 90.00 90.00
Closest atoms and distances in Å follow each position.
Space group P4/mmm (No. 123)
Asymmetric unit:
Ac  0.0000  0.0000  0.0000 [1 per cell]  8 Ga 3.37, 4 Te 3.38
Ga  0.0000  0.5000  0.5000 [2 per cell]  4 Ac 3.37, 4 Te 3.37, 4 Ga 3.38
Te  0.5000  0.5000  0.0000 [1 per cell]  8 Ga 3.37, 4 Ac 3.38

Calculated values
Theoretical density   7.5 g/cm³



Which structure is the least stable? The one labeled (one).



(one)
AcThGa4 | PBE | relaxed

abc: 8.1703 8.1703 8.1703
angles: 90.00 90.00 90.00
Closest atoms and distances in Å follow each position.
Space group F-43m (No. 216)
Asymmetric unit:
Ac  0.0000  0.0000  0.0000 [4 per cell]  12 Ga 3.39, 4 Th 3.54
Th  0.2500  0.2500  0.7500 [4 per cell]  12 Ga 3.39, 4 Ac 3.54
Ga  0.1243  0.1243  0.3757 [16 per cell]  6 Ga 2.87-2.90

Calculated values
Theoretical density   9.0 g/cm³



(two)
AcThGa4 | PBE | relaxed

abc: 4.3779 4.3779 15.1052
angles: 90.00 90.00 90.00
Closest atoms and distances in Å follow each position.
Space group I-4m2 (No. 119)
Asymmetric unit:
Ac  0.0000  0.0000  0.0000 [2 per cell]  12 Ga 3.36-3.37
Th  0.0000  0.5000  0.2500 [2 per cell]  12 Ga 3.31-3.33
Ga  0.0000  0.0000  0.4143 [4 per cell]  3 Ga 2.53-2.59
Ga  0.0000  0.5000  0.6693 [4 per cell]  3 Ga 2.44-2.53

Calculated values
Theoretical density   8.5 g/cm³



Which structure is the least stable? The one labeled (one).